1.
Compound: Pm4Pb2Br
Source: Alexandria via LeMat-Bulk
Functional: PBE
Structure: relaxed

The structure in POSCAR format:
```
Pm4Pb2Br
1.0
-2.676 2.676 8.339
2.676 -2.676 8.339
2.676 2.676 -8.339
Pm Pb Br
4 2 1
direct
0.000 0.500 0.500 Pm
0.175 0.175 0.000 Pm
0.500 0.000 0.500 Pm
0.825 0.825 0.000 Pm
0.366 0.366 0.000 Pb
0.634 0.634 0.000 Pb
0.000 0.000 0.000 Br
```

Output
Space group ... I4/mmm, No. 139
Polymorph energy (0 for the lowest one) ... 279 meV per atom

---

2.
Compound: PmPbBr
Source: Alexandria via LeMat-Bulk
Functional: PBE
Structure: relaxed

The structure in POSCAR format:
```
PmPbBr
1.0
3.832 0.000 0.000
0.000 3.832 0.000
0.000 0.000 12.486
Pm Pb Br
2 2 2
direct
0.250 0.250 0.237 Pm
0.750 0.750 0.763 Pm
0.250 0.250 0.929 Pb
0.750 0.750 0.071 Pb
0.250 0.250 0.633 Br
0.750 0.750 0.367 Br
```

Output
Space group ... P4/nmm, No. 129
Polymorph energy (0 for the lowest one) ... 61 meV per atom

---

3.
Compound: PmPbBr2
Source: Alexandria via LeMat-Bulk
Functional: PBE
Structure: relaxed

The structure in POSCAR format:
```
PmPbBr2
1.0
1.871 1.080 10.592
-1.871 1.080 10.592
0.000 -2.160 10.592
Pm Pb Br
1 1 2
direct
0.000 0.000 0.000 Pm
0.500 0.500 0.500 Pb
0.398 0.398 0.398 Br
0.602 0.602 0.602 Br
```

Output
Space group ... R-3m, No. 166

---

4.
Compound: Pm3PbBr
Source: Alexandria via LeMat-Bulk
Functional: PBE
Structure: relaxed

The structure in POSCAR format:
```
Pm3PbBr
1.0
9.219 0.000 0.000
0.000 6.600 0.000
-4.025 0.000 10.327
Pm Pb Br
12 4 4
direct
0.041 0.101 0.300 Pm
0.041 0.399 0.800 Pm
0.192 0.591 0.528 Pm
0.192 0.909 0.028 Pm
0.422 0.204 0.851 Pm
0.422 0.296 0.351 Pm
0.578 0.704 0.649 Pm
0.578 0.796 0.149 Pm
0.808 0.091 0.972 Pm
0.808 0.409 0.472 Pm
0.959 0.601 0.200 Pm
0.959 0.899 0.700 Pm
0.351 0.702 0.838 Pb
0.351 0.798 0.338 Pb
0.649 0.202 0.662 Pb
0.649 0.298 0.162 Pb
0.129 0.182 0.589 Br
0.129 0.318 0.089 Br
0.871 0.682 0.911 Br
0.871 0.818 0.411 Br
```

Output
Space group ... P2_1/c, No. 14

---

5.
Compound: Pm2PbBr
Source: Alexandria via LeMat-Bulk
Functional: PBE
Structure: relaxed

The structure in POSCAR format:
```
Pm2PbBr
1.0
2.369 1.368 8.839
-2.369 1.368 8.839
0.000 -2.736 8.839
Pm Pb Br
2 1 1
direct
0.109 0.109 0.109 Pm
0.891 0.891 0.891 Pm
0.500 0.500 0.500 Pb
0.000 0.000 0.000 Br
```

Output
Space group ... R-3m, No. 166
Polymorph energy (0 for the lowest one) ... 175 meV per atom

---

6.
Compound: Pm2PbBr3
Source: Alexandria via LeMat-Bulk
Functional: PBE
Structure: relaxed

The structure in POSCAR format:
```
Pm2PbBr3
1.0
9.856 -2.031 0.000
9.856 2.031 0.000
-9.300 0.000 10.918
Pm Pb Br
4 2 6
direct
0.111 0.111 0.426 Pm
0.372 0.372 0.160 Pm
0.628 0.628 0.840 Pm
0.889 0.889 0.574 Pm
0.079 0.079 0.633 Pb
0.921 0.921 0.367 Pb
0.177 0.177 0.030 Br
0.259 0.259 0.397 Br
0.450 0.450 0.770 Br
0.550 0.550 0.230 Br
0.741 0.741 0.603 Br
0.823 0.823 0.970 Br
```

Output
Space group ... C2/m, No. 12

---

7.
Compound: Pm2PbBr
Source: Alexandria via LeMat-Bulk
Functional: PBE
Structure: relaxed

The structure in POSCAR format:
```
Pm2PbBr
1.0
0.000 3.859 3.859
3.859 0.000 3.859
3.859 3.859 0.000
Pm Pb Br
2 1 1
direct
0.250 0.250 0.250 Pm
0.750 0.750 0.750 Pm
0.000 0.000 0.000 Pb
0.500 0.500 0.500 Br
```

Output
Space group ... Fm-3m, No. 225
Polymorph energy (0 for the lowest one) ... 106 meV per atom

---

8.
Compound: Pm2PbBr
Source: Alexandria via LeMat-Bulk
Functional: PBE
Structure: relaxed

The structure in POSCAR format:
```
Pm2PbBr
1.0
2.212 1.277 7.657
-2.212 1.277 7.657
0.000 -2.554 7.657
Pm Pb Br
2 1 1
direct
0.000 0.000 0.000 Pm
0.182 0.182 0.182 Pm
0.592 0.592 0.592 Pb
0.421 0.421 0.421 Br
```

Output
Space group ... R3m, No. 160
Polymorph energy (0 for the lowest one) ... 94 meV per atom

---

The calculation returns the following size of the total moment values, one per record and in order: 0.00, 0.00, 0.00, 0.00, 0.00, 0.00, 0.00, 0.00 μB/f.u..
The calculation returns the following ΔE_f (raw) values, one per record and in order: -389, -915, -1048, -595, -700, -1309, -770, -781 meV per atom.